1.
Density functional theory data (PBE) for crystalline Cu6Ag4F19 at its relaxed geometry.

Total moment   9.1 μB/cell
Crystal system   cubic
Formation energy without anion corrections   -1.3530 eV per atom

Unit cell a=8.0500 b=8.0500 c=8.0500 alpha=109.47 beta=109.47 gamma=109.47
Closest atoms and distances in Å follow each position.
Element x y z (fractional)
Cu: 0.3414 0.5000 0.8414  6 F 1.96-2.01
Cu: 0.6586 0.5000 0.1586  6 F 1.96-2.01
Cu: 0.1586 0.6586 0.5000  6 F 1.96-2.01
Cu: 0.8414 0.3414 0.5000  6 F 1.96-2.01
Cu: 0.5000 0.8414 0.3414  6 F 1.96-2.01
Cu: 0.5000 0.1586 0.6586  6 F 1.96-2.01
Ag: 0.0000 0.0000 0.7057  4 F 2.37-2.48
Ag: 0.0000 0.7057 0.0000  4 F 2.37-2.48
Ag: 0.2943 0.2943 0.2943  4 F 2.37-2.48
Ag: 0.7057 0.0000 0.0000  4 F 2.37-2.48
F: 0.6470 0.0000 0.6470  2 Cu 2.01
F: 0.3530 0.0000 0.3530  2 Cu 2.01
F: 0.3530 0.3530 0.0000  2 Cu 2.01
F: 0.6470 0.6470 0.0000  2 Cu 2.01
F: 0.0000 0.6470 0.6470  2 Cu 2.01
F: 0.0000 0.3530 0.3530  2 Cu 2.01
F: 0.0000 0.0000 0.0000  4 Ag 2.37
F: 0.3562 0.3089 0.6235  2 Cu 1.96-1.98
F: 0.6438 0.2673 0.9527  2 Cu 1.96-1.98
F: 0.6854 0.7327 0.3765  2 Cu 1.96-1.98
F: 0.9527 0.6438 0.2673  2 Cu 1.96-1.98
F: 0.3146 0.6911 0.0473  2 Cu 1.96-1.98
F: 0.6235 0.3562 0.3089  2 Cu 1.96-1.98
F: 0.0473 0.3146 0.6911  2 Cu 1.96-1.98
F: 0.3765 0.6854 0.7327  2 Cu 1.96-1.98
F: 0.6911 0.0473 0.3146  2 Cu 1.96-1.98
F: 0.2673 0.9527 0.6438  2 Cu 1.96-1.98
F: 0.3089 0.6235 0.3562  2 Cu 1.96-1.98
F: 0.7327 0.3765 0.6854  2 Cu 1.96-1.98



2.
Density functional theory data (PBE) for crystalline AgTe4Au2 at its relaxed geometry.

Total moment   0.0 μB/cell
Crystal system   tetragonal
Formation energy without anion corrections   -0.0230 eV per atom

Unit cell a=7.3619 b=7.3619 c=8.8779 alpha=114.50 beta=114.50 gamma=90.00
Closest atoms and distances in Å follow each position.
Element x y z (fractional)
Te: 0.3740 0.0286 0.4186  2 Au 2.72, 1 Ag 2.86
Te: 0.7054 0.8599 0.0814  2 Au 2.72, 1 Ag 2.86
Te: 0.6099 0.6260 0.5814  2 Au 2.72, 1 Ag 2.86
Te: 0.7786 0.2946 0.9186  2 Au 2.72, 1 Ag 2.86
Te: 0.9714 0.9554 0.5814  2 Au 2.72, 1 Ag 2.86
Te: 0.1401 0.6240 0.9186  2 Au 2.72, 1 Ag 2.86
Te: 0.0446 0.3901 0.4186  2 Au 2.72, 1 Ag 2.86
Te: 0.3760 0.2214 0.0814  2 Au 2.72, 1 Ag 2.86
Au: 0.3750 0.1250 0.7500  4 Te 2.72
Au: 0.3750 0.6250 0.7500  4 Te 2.72
Au: 0.3750 0.6250 0.2500  4 Te 2.72
Au: 0.8750 0.6250 0.2500  4 Te 2.72
Ag: 0.7500 0.2500 0.5000  4 Te 2.86
Ag: 0.0000 0.0000 0.0000  4 Te 2.86



3.
Density functional theory data (PBE) for crystalline TlSbPbSe2 at its relaxed geometry.

Total moment   0.0 μB/cell
Crystal system   tetragonal
Formation energy without anion corrections   0.2005 eV per atom

Unit cell a=5.5060 b=5.8241 c=5.5060 alpha=90.00 beta=90.00 gamma=90.00
Closest atoms and distances in Å follow each position.
Element x y z (fractional)
Pb: 0.0000 0.5000 0.0000  2 Sb 2.91
Sb: 0.0000 0.0000 0.0000  4 Se 2.75, 2 Pb 2.91
Tl: 0.5000 0.5000 0.5000  4 Pb 3.89, 8 Se 4.01
Se: 0.0000 0.0000 0.5000  2 Sb 2.75
Se: 0.5000 0.0000 0.0000  2 Sb 2.75



4.
Density functional theory data (PBE) for crystalline Ce2Be3SiIr4 at its relaxed geometry.

Total moment   0.0 μB/cell
Crystal system   tetragonal
Formation energy without anion corrections   -0.7186 eV per atom

Unit cell a=4.0959 b=4.0959 c=9.4374 alpha=90.00 beta=90.00 gamma=90.00
Closest atoms and distances in Å follow each position.
Element x y z (fractional)
Ce: 0.5000 0.0000 0.2356  8 Ir 3.02-3.16, 7 Be 3.11-3.31, 2 Si 3.23
Ce: 0.0000 0.5000 0.7644  8 Ir 3.02-3.16, 7 Be 3.11-3.31, 2 Si 3.23
Be: 0.0000 0.0000 0.5000  4 Ir 2.39
Be: 0.5000 0.0000 0.8847  5 Ir 2.32-2.39
Be: 0.0000 0.5000 0.1153  5 Ir 2.32-2.39
Si: 0.5000 0.5000 0.5000  4 Ir 2.39
Ir: 0.5000 0.5000 0.0000  4 Be 2.32
Ir: 0.0000 0.0000 0.0000  4 Be 2.32
Ir: 0.5000 0.0000 0.6315  3 Be 2.39, 2 Si 2.39
Ir: 0.0000 0.5000 0.3685  3 Be 2.39, 2 Si 2.39



5.
Density functional theory data (PBE) for crystalline Sr2AgHAu at its relaxed geometry.

Total moment   0.0 μB/cell
Crystal system   tetragonal
Electronic total energy   -2.985 eV/atom

Unit cell a=5.4556 b=5.4556 c=3.9327 alpha=90.00 beta=90.00 gamma=90.00
Closest atoms and distances in Å follow each position.
Element x y z (fractional)
Sr: 0.0000 0.5000 0.0000  2 H 2.73
Sr: 0.5000 0.0000 0.0000  2 H 2.73
Au: 0.0000 0.0000 0.5000  2 H 1.97
Ag: 0.5000 0.5000 0.5000  8 Sr 3.36
H: 0.0000 0.0000 0.0000  2 Au 1.97



6.
Density functional theory data (PBE) for crystalline TcHg2H at its relaxed geometry.

Total moment   3.3 μB/cell
Crystal system   cubic
Electronic total energy   -2.437 eV/atom

Unit cell a=4.6566 b=4.6566 c=4.6566 alpha=60.00 beta=60.00 gamma=60.00
Closest atoms and distances in Å follow each position.
Element x y z (fractional)
H: 0.0000 0.0000 0.0000  8 Hg 2.85
Hg: 0.2500 0.2500 0.2500  4 H 2.85, 4 Tc 2.85
Hg: 0.7500 0.7500 0.7500  4 H 2.85, 4 Tc 2.85
Tc: 0.5000 0.5000 0.5000  8 Hg 2.85



7.
Density functional theory data (PBE) for crystalline Na6Tl3Sn at its relaxed geometry.

Total moment   0.0 μB/cell
Crystal system   monoclinic
DFT formation energy   -0.077 eV per atom

Unit cell a=3.4320 b=12.6071 c=13.7989 alpha=99.10 beta=90.00 gamma=90.00
Closest atoms and distances in Å follow each position.
Element x y z (fractional)
Na: 0.7500 0.5028 0.6864  4 Tl 3.23-3.28, 7 Na 3.42-3.58
Na: 0.2500 0.4972 0.3136  4 Tl 3.23-3.28, 7 Na 3.42-3.58
Na: 0.7500 0.8230 0.0875  3 Na 3.22-3.43, 5 Tl 3.22-3.56, 2 Sn 3.48
Na: 0.2500 0.1770 0.9125  3 Na 3.22-3.43, 5 Tl 3.22-3.56, 2 Sn 3.48
Na: 0.7500 0.3512 0.1097  4 Tl 3.17-3.40, 2 Na 3.43
Na: 0.2500 0.6488 0.8903  4 Tl 3.17-3.40, 2 Na 3.43
Na: 0.7500 0.7431 0.2977  5 Na 3.22-3.58, 3 Tl 3.34-3.56, 2 Sn 3.34
Na: 0.2500 0.2569 0.7023  5 Na 3.22-3.58, 3 Tl 3.34-3.56, 2 Sn 3.34
Na: 0.7500 0.1187 0.4782  8 Na 3.43-3.72, 3 Sn 3.48-3.61, 2 Tl 3.62
Na: 0.2500 0.8813 0.5218  8 Na 3.43-3.72, 3 Sn 3.48-3.61, 2 Tl 3.62
Na: 0.7500 0.7765 0.7078  3 Tl 3.21-3.35, 1 Sn 3.21, 5 Na 3.42-3.51
Na: 0.2500 0.2235 0.2922  3 Tl 3.21-3.35, 1 Sn 3.21, 5 Na 3.42-3.51
Tl: 0.7500 0.4191 0.8983  6 Na 3.17-3.53, 2 Tl 3.43
Tl: 0.2500 0.5809 0.1017  6 Na 3.17-3.53, 2 Tl 3.43
Tl: 0.7500 0.6253 0.4980  5 Na 3.21-3.34, 2 Tl 3.43
Tl: 0.2500 0.3747 0.5020  5 Na 3.21-3.34, 2 Tl 3.43
Tl: 0.7500 0.0813 0.1071  6 Na 3.22-3.56, 2 Tl 3.43, 2 Sn 3.47
Tl: 0.2500 0.9187 0.8929  6 Na 3.22-3.56, 2 Tl 3.43, 2 Sn 3.47
Sn: 0.7500 0.0320 0.7157  7 Na 3.21-3.48, 2 Sn 3.43, 2 Tl 3.47
Sn: 0.2500 0.9680 0.2843  7 Na 3.21-3.48, 2 Sn 3.43, 2 Tl 3.47



8.
Density functional theory data (PBE) for crystalline Si3PbN at its relaxed geometry.

Total moment   0.0 μB/cell
Crystal system   cubic
Formation energy without anion corrections   2.6493 eV per atom

Unit cell a=5.2742 b=5.2742 c=5.2742 alpha=90.00 beta=90.00 gamma=90.00
Closest atoms and distances in Å follow each position.
Element x y z (fractional)
Pb: 0.0000 0.0000 0.0000  6 Si 2.64
Si: 0.0000 0.5000 0.0000  2 Pb 2.64
Si: 0.0000 0.0000 0.5000  2 Pb 2.64
Si: 0.5000 0.0000 0.0000  2 Pb 2.64
N: 0.5000 0.5000 0.5000  12 Si 3.73